The following is a PBE calculation of a relaxed TmIn2BiO6 crystal, from Alexandria.

Final energy in eV/atom: -6.320

Cell: 5.9906 5.9906 5.9906 Å, 57.39 57.39 57.39°
Atoms (fractional coordinates):
Tm: 0.0000 0.0000 0.0000
In: 0.2865 0.2865 0.2865
In: 0.7853 0.7853 0.7853
Bi: 0.5044 0.5044 0.5044
O: 0.0863 0.6819 0.4031
O: 0.1553 0.5927 0.9282
O: 0.4031 0.0863 0.6819
O: 0.5927 0.9282 0.1553
O: 0.6819 0.4031 0.0863
O: 0.9282 0.1553 0.5927